Density functional theory data (PBE) for a relaxed TbSmTlPd2 crystal.

POSCAR file:
```
TbSmTlPd2
1.0
3.711 0.000 0.000
0.000 2.081 7.578
0.000 -2.081 7.578
Tb Sm Tl Pd
1 1 1 2
Cartesian
0.000 0.000 0.000
0.000 0.000 11.100
1.855 0.000 5.550
1.855 0.000 2.625
1.855 0.000 8.416
```

Properties
As for the electronic total energy: -5.165 eV/atom.

Density functional theory data (PBE) for a relaxed SmTcPd crystal.

POSCAR file:
```
SmTcPd
1.0
0.000 3.254 3.254
3.254 0.000 3.254
3.254 3.254 0.000
Sm Tc Pd
1 1 1
Cartesian
0.000 0.000 0.000
1.627 1.627 1.627
4.880 4.880 4.880
```

Properties
As for the electronic total energy: -5.960 eV/atom. The value obtained for the energy above the most stable polymorph in this dataset is 433 meV/atom. For the calculated formation energy, the calculation gives 789 meV per atom.

Density functional theory data (PBE) for a relaxed SmTcPd crystal.

POSCAR file:
```
SmTcPd
1.0
0.000 3.262 3.262
3.262 0.000 3.262
3.262 3.262 0.000
Sm Tc Pd
1 1 1
Cartesian
0.000 0.000 0.000
3.262 3.262 3.262
1.631 1.631 1.631
```

Properties
As for the electronic total energy: -6.394 eV/atom. The value obtained for the energy above the most stable polymorph in this dataset is 0 meV/atom. For the calculated formation energy, the calculation gives 355 meV per atom.

Density functional theory data (PBE) for a relaxed SmYTlPd2 crystal.

POSCAR file:
```
SmYTlPd2
1.0
3.709 0.000 0.000
0.000 2.083 7.559
0.000 -2.083 7.559
Sm Y Tl Pd
1 1 1 2
Cartesian
0.000 0.000 0.000
0.000 0.000 4.043
1.855 0.000 9.594
1.855 0.000 6.679
1.855 0.000 12.457
```

Properties
As for the electronic total energy: -5.532 eV/atom.

Density functional theory data (PBE) for a relaxed SmPdW crystal.

POSCAR file:
```
SmPdW
1.0
0.000 3.257 3.257
3.257 0.000 3.257
3.257 3.257 0.000
Sm Pd W
1 1 1
Cartesian
0.000 0.000 0.000
1.628 1.628 1.628
3.257 3.257 3.257
```

Properties
As for the electronic total energy: -6.901 eV/atom. The value obtained for the energy above the most stable polymorph in this dataset is 0 meV/atom. For the calculated formation energy, the calculation gives 714 meV per atom.

Density functional theory data (PBE) for a relaxed SmPdW crystal.

POSCAR file:
```
SmPdW
1.0
0.000 3.304 3.304
3.304 0.000 3.304
3.304 3.304 0.000
Sm Pd W
1 1 1
Cartesian
0.000 0.000 0.000
4.956 4.956 4.956
1.652 1.652 1.652
```

Properties
As for the electronic total energy: -6.299 eV/atom. The value obtained for the energy above the most stable polymorph in this dataset is 602 meV/atom. For the calculated formation energy, the calculation gives 1316 meV per atom.

Density functional theory data (PBE) for a relaxed SmYPd crystal.

POSCAR file:
```
SmYPd
1.0
0.000 3.484 3.484
3.484 0.000 3.484
3.484 3.484 0.000
Sm Y Pd
1 1 1
Cartesian
0.000 0.000 0.000
3.484 3.484 3.484
1.742 1.742 1.742
```

Properties
As for the electronic total energy: -5.886 eV/atom. The value obtained for the energy above the most stable polymorph in this dataset is 0 meV/atom. For the calculated formation energy, the calculation gives -436 meV per atom.

Density functional theory data (PBE) for a relaxed Sn3Pd7 crystal.

POSCAR file:
```
Sn3Pd7
1.0
3.967 0.000 0.000
0.000 3.967 0.000
0.000 0.000 18.446
Sn Pd
3 7
Cartesian
0.000 0.000 0.000
0.000 0.000 4.100
0.000 0.000 14.346
0.000 1.983 2.067
0.000 1.983 16.379
1.983 0.000 2.067
1.983 0.000 16.379
1.983 1.983 0.000
1.983 1.983 4.118
1.983 1.983 14.328
```

Properties
As for the electronic total energy: -5.156 eV/atom.

Density functional theory data (PBE) for a relaxed Sn5Pd13 crystal.

POSCAR file:
```
Sn5Pd13
1.0
4.007 0.000 0.000
0.000 4.007 0.000
0.000 0.000 28.213
Sn Pd
5 13
Cartesian
0.000 0.000 0.000
0.000 0.000 4.004
0.000 0.000 8.063
0.000 0.000 20.150
0.000 0.000 24.209
0.000 2.003 2.020
0.000 2.003 6.077
0.000 2.003 22.136
0.000 2.003 26.193
2.003 0.000 2.020
2.003 0.000 6.077
2.003 0.000 22.136
2.003 0.000 26.193
2.003 2.003 0.000
2.003 2.003 4.069
2.003 2.003 8.094
2.003 2.003 20.119
2.003 2.003 24.144
```

Properties
As for the electronic total energy: -5.264 eV/atom.

Density functional theory data (PBE) for a relaxed Sn2Pd crystal.

POSCAR file:
```
Sn2Pd
1.0
7.471 0.000 0.000
0.000 4.162 0.000
0.000 0.000 8.509
Sn Pd
8 4
Cartesian
0.231 1.041 1.336
1.015 1.041 4.855
2.720 3.122 0.600
3.504 3.122 5.590
3.966 1.041 2.919
4.751 1.041 7.909
6.455 3.122 3.654
7.240 3.122 7.173
1.841 3.122 3.214
1.894 1.041 7.468
5.576 3.122 1.041
5.630 1.041 5.295
```

Properties
As for the electronic total energy: -4.709 eV/atom.

Density functional theory data (PBE) for a relaxed SnPd10 crystal.

POSCAR file:
```
SnPd10
1.0
4.352 -1.955 0.000
4.352 1.955 0.000
-0.207 0.000 29.991
Sn Pd
2 20
Cartesian
1.321 0.000 5.649
7.176 0.000 24.343
0.346 0.000 11.857
0.278 0.000 20.830
1.099 0.000 23.639
1.207 0.000 14.549
2.064 0.000 17.238
2.167 0.000 8.273
2.903 0.000 19.933
2.970 0.000 10.978
3.729 0.000 22.665
3.823 0.000 13.659
4.673 0.000 16.332
4.767 0.000 7.327
5.526 0.000 19.013
5.593 0.000 10.058
6.329 0.000 21.718
6.433 0.000 12.754
7.289 0.000 15.443
7.397 0.000 6.352
8.218 0.000 9.161
8.150 0.000 18.134
```

Properties
As for the electronic total energy: -5.138 eV/atom.

Density functional theory data (PBE) for a relaxed Sn2Pd crystal.

POSCAR file:
```
Sn2Pd
1.0
6.199 -3.290 0.000
6.199 3.290 0.000
0.000 0.000 6.576
Sn Pd
8 4
Cartesian
3.100 1.623 4.932
6.199 2.252 5.526
6.199 1.038 2.239
3.100 -1.623 1.644
9.299 1.623 4.932
6.199 -1.038 4.337
6.199 -2.252 1.049
9.299 -1.623 1.644
1.449 0.000 3.288
4.750 0.000 0.000
7.648 0.000 0.000
10.949 0.000 3.288
```

Properties
As for the electronic total energy: -4.787 eV/atom.

What did the fifth record say?
Density functional theory data (PBE) for a relaxed SmPdW crystal.

POSCAR file:
```
SmPdW
1.0
0.000 3.257 3.257
3.257 0.000 3.257
3.257 3.257 0.000
Sm Pd W
1 1 1
Cartesian
0.000 0.000 0.000
1.628 1.628 1.628
3.257 3.257 3.257
```

Properties
As for the electronic total energy: -6.901 eV/atom. The value obtained for the energy above the most stable polymorph in this dataset is 0 meV/atom. For the calculated formation energy, the calculation gives 714 meV per atom.